Entry 1:
U3Cd5Te12 | PBE | relaxed

POSCAR file:
```
U3Cd5Te12
1.0
-7.211 -9.220 9.742
9.112 -8.246 -8.993
8.333 10.093 7.785
Te U Cd
48 12 20
direct
0.366 0.948 0.776 Te
0.448 0.673 0.083 Te
0.276 0.410 0.827 Te
0.276 0.866 0.948 Te
0.827 0.910 0.276 Te
0.224 0.552 0.634 Te
0.410 0.134 0.583 Te
0.673 0.224 0.590 Te
0.134 0.724 0.552 Te
0.083 0.910 0.134 Te
0.948 0.366 0.276 Te
0.090 0.917 0.366 Te
0.776 0.448 0.366 Te
0.776 0.327 0.910 Te
0.634 0.052 0.224 Te
0.173 0.090 0.724 Te
0.552 0.327 0.917 Te
0.866 0.276 0.448 Te
0.417 0.366 0.590 Te
0.448 0.776 0.866 Te
0.917 0.090 0.866 Te
0.590 0.866 0.417 Te
0.673 0.448 0.583 Te
0.366 0.417 0.090 Te
0.090 0.173 0.224 Te
0.917 0.827 0.552 Te
0.552 0.224 0.134 Te
0.410 0.276 0.327 Te
0.052 0.417 0.827 Te
0.583 0.634 0.410 Te
0.224 0.673 0.090 Te
0.083 0.173 0.448 Te
0.948 0.583 0.173 Te
0.327 0.776 0.410 Te
0.173 0.083 0.948 Te
0.634 0.583 0.910 Te
0.417 0.052 0.327 Te
0.866 0.590 0.917 Te
0.134 0.410 0.083 Te
0.827 0.917 0.052 Te
0.052 0.634 0.724 Te
0.590 0.724 0.673 Te
0.583 0.948 0.673 Te
0.724 0.134 0.052 Te
0.327 0.552 0.417 Te
0.724 0.590 0.173 Te
0.910 0.827 0.776 Te
0.910 0.083 0.634 Te
0.375 0.625 0.250 U
0.625 0.250 0.375 U
0.750 0.875 0.625 U
0.125 0.875 0.750 U
0.875 0.125 0.250 U
0.250 0.125 0.375 U
0.625 0.375 0.750 U
0.375 0.750 0.625 U
0.750 0.375 0.125 U
0.875 0.750 0.125 U
0.250 0.625 0.875 U
0.125 0.250 0.875 U
0.500 0.500 0.000 Cd
0.250 0.875 0.125 Cd
0.500 0.500 0.500 Cd
0.625 0.875 0.250 Cd
0.000 0.500 0.500 Cd
0.000 0.000 0.500 Cd
0.125 0.750 0.375 Cd
0.625 0.750 0.875 Cd
0.750 0.625 0.375 Cd
0.875 0.250 0.625 Cd
0.500 0.000 0.000 Cd
0.500 0.000 0.500 Cd
0.750 0.125 0.875 Cd
0.250 0.375 0.625 Cd
0.375 0.250 0.125 Cd
0.875 0.625 0.750 Cd
0.125 0.375 0.250 Cd
0.375 0.125 0.750 Cd
0.000 0.500 0.000 Cd
0.000 0.000 0.000 Cd
```

## Properties
As for the space group: Ia-3d (230). Its formation energy (no corrections) is -635 kJ/mol of formula units.

***

Entry 2:
NaSn2Pd9 | PBE | relaxed

POSCAR file:
```
NaSn2Pd9
1.0
-2.458 2.990 -1.234
-3.192 -2.492 0.319
-1.536 3.422 11.349
Pd Sn Na
9 2 1
direct
0.000 0.500 0.170 Pd
0.500 0.500 0.000 Pd
0.000 0.500 0.500 Pd
0.500 0.000 0.500 Pd
0.500 0.500 0.334 Pd
0.500 0.000 0.170 Pd
0.500 0.000 0.830 Pd
0.000 0.500 0.830 Pd
0.500 0.500 0.666 Pd
0.000 0.000 0.669 Sn
0.000 0.000 0.331 Sn
0.000 0.000 0.000 Na
```

## Properties
As for the space group: P4/mmm (123). For the formation energy, the calculation gives -0.332 eV per atom.

***

Entry 3:
Tl2SbI2Cl4 | PBE | relaxed

POSCAR file:
```
Tl2SbI2Cl4
1.0
7.631 -0.169 -0.244
-3.811 6.613 0.244
-3.811 -2.095 6.277
Cl I Sb Tl
4 2 1 2
direct
0.000 0.240 0.760 Cl
0.519 0.760 0.760 Cl
0.481 0.240 0.240 Cl
0.000 0.760 0.240 Cl
0.000 0.265 0.265 I
0.000 0.735 0.735 I
0.000 0.000 0.000 Sb
0.500 0.750 0.250 Tl
0.500 0.250 0.750 Tl
```

## Properties
As for the space group: I4/mmm (139). Its formation energy (no corrections) is -615 kJ/mol of formula units.

***

Entry 4:
PuTlRh2 | PBE | relaxed

POSCAR file:
```
PuTlRh2
1.0
3.450 0.000 0.000
0.000 3.450 0.000
0.000 0.000 6.484
Pu Rh Tl
1 2 1
direct
0.500 0.500 0.000 Pu
0.000 0.000 0.750 Rh
0.000 0.000 0.250 Rh
0.500 0.500 0.500 Tl
```

## Properties
As for the space group: P4/mmm (123). For the formation energy, the calculation gives -0.171 eV per atom.

***

Entry 5:
CrHgIr2 | PBE | relaxed

POSCAR file:
```
CrHgIr2
1.0
-0.272 -0.870 -2.648
1.760 -2.116 0.514
-6.038 -4.511 2.102
Cr Ir Hg
1 2 1
direct
0.500 0.500 0.250 Cr
0.000 0.000 0.039 Ir
0.000 0.000 0.461 Ir
0.500 0.500 0.750 Hg
```

## Properties
As for the space group: P4/mmm (123). For the formation energy, the calculation gives 0.085 eV per atom.

***

Entry 6:
Pr4Cd3Ag | PBE | relaxed

POSCAR file:
```
Pr4Cd3Ag
1.0
3.867 0.000 0.000
0.000 3.867 0.000
0.000 0.000 15.374
Cd Pr Ag
3 4 1
direct
0.500 0.500 0.500 Cd
0.500 0.500 0.248 Cd
0.500 0.500 0.752 Cd
0.000 0.000 0.880 Pr
0.000 0.000 0.373 Pr
0.000 0.000 0.627 Pr
0.000 0.000 0.120 Pr
0.500 0.500 0.000 Ag
```

## Properties
As for the space group: P4/mmm (123). For the formation energy, the calculation gives -0.299 eV per atom.

***

Entry 7:
ThTcGe | PBE | relaxed

POSCAR file:
```
ThTcGe
1.0
-2.225 -3.749 -0.343
2.569 -1.220 -3.322
4.311 -2.963 4.422
Tc Ge Th
2 2 2
direct
0.500 0.500 0.500 Tc
0.000 0.000 0.500 Tc
0.000 0.500 0.298 Ge
0.500 0.000 0.702 Ge
0.000 0.500 0.805 Th
0.500 0.000 0.195 Th
```

## Properties
As for the space group: P4/nmm (129). For the formation energy, the calculation gives -0.521 eV per atom.

***

Entry 8:
AcLa6Pr2Sm | PBE | relaxed

POSCAR file:
```
AcLa6Pr2Sm
1.0
-2.207 -8.372 -3.898
8.807 -2.741 1.189
-5.650 -1.721 7.184
La Ac Pr Sm
12 2 4 2
direct
0.904 0.279 0.570 La
0.822 0.474 0.030 La
0.678 0.970 0.526 La
0.322 0.030 0.474 La
0.596 0.430 0.721 La
0.909 0.924 0.229 La
0.404 0.570 0.279 La
0.591 0.771 0.076 La
0.409 0.229 0.924 La
0.096 0.721 0.430 La
0.178 0.526 0.970 La
0.091 0.076 0.771 La
0.250 0.932 0.068 Ac
0.750 0.068 0.932 Ac
0.437 0.792 0.697 Pr
0.063 0.303 0.208 Pr
0.937 0.697 0.792 Pr
0.563 0.208 0.303 Pr
0.750 0.574 0.426 Sm
0.250 0.426 0.574 Sm
```

## Properties
As for the space group: C2/c (15). For the formation energy, the calculation gives 0.107 eV per atom.

***

Entry 9:
Cs3Pm3DyTe8 | PBE | relaxed

POSCAR file:
```
Cs3Pm3DyTe8
1.0
9.034 0.001 0.000
-4.516 7.825 -0.039
0.000 -5.177 9.253
Te Cs Pm Dy
8 3 3 1
direct
0.228 0.456 0.692 Te
0.735 0.964 0.692 Te
0.732 0.464 0.695 Te
0.772 0.544 0.308 Te
0.228 0.964 0.692 Te
0.265 0.036 0.308 Te
0.772 0.036 0.308 Te
0.268 0.536 0.305 Te
0.000 0.500 0.000 Cs
0.500 0.500 0.000 Cs
0.000 0.000 0.000 Cs
0.500 0.500 0.500 Pm
0.500 0.000 0.500 Pm
0.000 0.500 0.500 Pm
0.000 0.000 0.500 Dy
```

## Properties
As for the space group: R-3m (166). Its formation energy (no corrections) is -1932 kJ/mol of formula units.

***

Entry 10:
TiSi2Ru | PBE | relaxed

POSCAR file:
```
TiSi2Ru
1.0
-1.309 -1.783 2.954
-2.588 -1.582 -2.101
3.557 -8.479 -1.236
Si Ru Ti
4 2 2
direct
0.375 0.365 0.750 Si
0.115 0.625 0.250 Si
0.635 0.125 0.250 Si
0.875 0.885 0.750 Si
0.750 0.250 0.500 Ru
0.000 0.000 0.000 Ru
0.500 0.500 0.000 Ti
0.250 0.750 0.500 Ti
```

## Properties
As for the space group: I-42d (122). Its formation energy (no corrections) is -50 kJ/mol of formula units.

***

Entry 11:
CsLiZnF4 | PBE | relaxed

POSCAR file:
```
CsLiZnF4
1.0
-2.773 -3.709 2.725
3.380 -4.217 -2.299
6.808 3.182 4.173
F Cs Zn Li
8 2 2 2
direct
0.944 0.987 0.332 F
0.770 0.250 0.893 F
0.535 0.750 0.512 F
0.056 0.487 0.668 F
0.230 0.750 0.107 F
0.056 0.013 0.668 F
0.465 0.250 0.488 F
0.944 0.513 0.332 F
0.407 0.250 0.126 Cs
0.593 0.750 0.874 Cs
0.810 0.250 0.683 Zn
0.190 0.750 0.317 Zn
0.115 0.250 0.484 Li
0.885 0.750 0.516 Li
```

## Properties
As for the space group: P2_1/m (11). Its formation energy (no corrections) is -1748 kJ/mol of formula units.

***

Entry 12:
HgI2NO | PBE | relaxed

POSCAR file:
```
HgI2NO
1.0
-0.166 2.472 4.628
3.601 -3.314 1.900
2.721 2.306 -1.134
N Hg I O
1 1 2 1
direct
0.000 0.000 0.000 N
0.500 0.500 0.500 Hg
0.000 0.500 0.000 I
0.500 0.000 0.000 I
0.000 0.000 0.500 O
```

## Properties
As for the space group: P4/mmm (123). Its formation energy (no corrections) is 539 kJ/mol of formula units.

***

Entry 13:
HAuS | PBE | relaxed

POSCAR file:
```
HAuS
1.0
0.370 4.228 2.282
-3.125 1.471 -3.360
-4.074 -1.366 3.191
Au S H
2 2 2
direct
0.546 0.546 0.500 Au
0.046 0.046 0.500 Au
0.809 0.309 0.779 S
0.309 0.809 0.221 S
0.610 0.110 0.865 H
0.110 0.610 0.135 H
```

## Properties
As for the space group: Aem2 (39). The total energy comes out at -3.73 eV per atom.

***

Entry 14:
MgAlVS4 | PBE | relaxed

POSCAR file:
```
MgAlVS4
1.0
-2.078 3.586 5.893
-3.619 -3.512 5.265
3.088 -1.531 6.425
S Mg V Al
8 2 2 2
direct
0.266 0.255 0.713 S
0.266 0.713 0.256 S
0.734 0.745 0.287 S
0.751 0.732 0.732 S
0.284 0.732 0.732 S
0.249 0.268 0.268 S
0.734 0.287 0.744 S
0.716 0.268 0.268 S
0.874 0.875 0.876 Mg
0.126 0.125 0.124 Mg
0.500 0.500 0.000 V
0.500 0.000 0.500 V
0.500 0.500 0.500 Al
0.000 0.500 0.500 Al
```

## Properties
As for the space group: Imma (74). Its formation energy (no corrections) is -728 kJ/mol of formula units.

***

Entry 15:
Tm5In2HgIr2 | PBE | relaxed

POSCAR file:
```
Tm5In2HgIr2
1.0
-2.494 2.562 -0.176
-7.151 -7.363 -5.842
-4.544 -3.718 10.248
Tm In Ir Hg
10 4 4 2
direct
0.500 0.575 0.705 Tm
0.500 0.205 0.075 Tm
0.500 0.925 0.205 Tm
0.500 0.500 0.000 Tm
0.500 0.075 0.795 Tm
0.500 0.000 0.500 Tm
0.500 0.795 0.925 Tm
0.500 0.425 0.295 Tm
0.500 0.295 0.575 Tm
0.500 0.705 0.425 Tm
0.000 0.825 0.675 In
0.000 0.325 0.825 In
0.000 0.675 0.175 In
0.000 0.175 0.325 In
0.000 0.632 0.868 Ir
0.000 0.868 0.368 Ir
0.000 0.368 0.132 Ir
0.000 0.132 0.632 Ir
0.000 0.000 0.000 Hg
0.000 0.500 0.500 Hg
```

## Properties
As for the space group: P4/mbm (127). For the formation energy, the calculation gives -0.599 eV per atom.

***

Entry 16:
MgZn3 | PBE | relaxed

POSCAR file:
```
MgZn3
1.0
-3.595 -3.629 1.118
4.319 0.513 2.904
-2.955 7.894 3.366
Zn Mg
9 3
direct
0.000 0.500 0.500 Zn
0.668 0.585 0.253 Zn
0.670 0.079 0.255 Zn
0.330 0.921 0.745 Zn
0.667 0.334 0.001 Zn
0.176 0.585 0.255 Zn
0.332 0.415 0.747 Zn
0.333 0.666 0.999 Zn
0.824 0.415 0.745 Zn
0.000 0.000 0.000 Mg
0.285 0.141 0.426 Mg
0.715 0.859 0.574 Mg
```

## Properties
As for the space group: C2/m (12). For the formation energy, the calculation gives -0.073 eV per atom.

***

Entry 17:
Cr2InCu | PBE | relaxed

POSCAR file:
```
Cr2InCu
1.0
-0.952 -5.251 4.917
6.969 0.556 1.943
2.323 -0.433 5.341
Cr In Cu
4 2 2
direct
0.875 0.839 0.750 Cr
0.161 0.625 0.250 Cr
0.375 0.411 0.750 Cr
0.589 0.125 0.250 Cr
0.000 0.000 0.000 In
0.750 0.250 0.500 In
0.500 0.500 0.000 Cu
0.250 0.750 0.500 Cu
```

## Properties
As for the space group: I-42d (122). For the formation energy, the calculation gives 0.808 eV per atom.

***

Entry 18:
K2ScSn | PBE | relaxed

POSCAR file:
```
K2ScSn
1.0
-5.779 -10.890 -3.172
10.941 -6.291 1.666
1.922 -9.024 1.936
Sn K Sc
2 4 2
direct
0.000 0.000 0.000 Sn
0.750 0.250 0.500 Sn
0.773 0.125 0.250 K
0.875 0.023 0.750 K
0.375 0.227 0.750 K
0.977 0.625 0.250 K
0.250 0.750 0.500 Sc
0.500 0.500 0.000 Sc
```

## Properties
As for the space group: I-42d (122). For the formation energy, the calculation gives 0.272 eV per atom.

***

Entry 19:
FeAgAs2 | PBE | relaxed

POSCAR file:
```
FeAgAs2
1.0
6.705 -0.005 -0.017
6.101 2.782 -0.017
1.058 0.229 3.591
As Ag Fe
2 1 1
direct
0.819 0.819 0.681 As
0.023 0.023 0.977 As
0.186 0.186 0.314 Ag
0.472 0.472 0.528 Fe
```

## Properties
As for the space group: Imm2 (44). For the formation energy, the calculation gives 0.115 eV per atom.